(1)
Computed, not measured: a relaxed Ga2SnPb crystal at the GGA-PBE level of DFT.

```
Ga2SnPb
1.0
-1.316 -0.639 2.944
-0.944 -3.058 0.749
9.293 -3.346 5.263
Sn Ga Pb
1 2 1
Cartesian
3.517 -3.522 4.478
6.539 -2.766 4.157
0.495 -4.277 4.799
0.000 0.000 0.000
```

Values from the calculation:
Energy relative to the elements   123 meV/atom
Polymorph energy (0 for the lowest one)   76 meV/atom
Crystal system   trigonal
Spin magnetization   0.000 μB per formula unit

---

(2)
Computed, not measured: a relaxed CePmDy2In4 crystal at the GGA-PBE level of DFT.

```
CePmDy2In4
1.0
5.382 0.000 0.000
2.691 4.661 0.000
2.691 1.554 8.818
In Dy Ce Pm
4 2 1 1
Cartesian
2.691 1.554 5.519
5.382 3.107 7.723
5.382 3.107 1.095
8.073 4.661 3.299
8.073 4.661 6.616
2.691 1.554 2.202
5.382 3.107 4.409
0.000 0.000 0.000
```

Values from the calculation:
Energy relative to the elements   -440 meV/atom
Crystal system   trigonal
Spin magnetization   0.920 μB per formula unit

---

(3)
Computed, not measured: a relaxed In2CuAs2 crystal at the GGA-PBE level of DFT.

```
In2CuAs2
1.0
-3.666 6.108 1.458
-4.519 -1.394 -5.523
-2.541 -2.151 2.622
As In Cu
4 4 2
Cartesian
-4.797 0.765 -4.022
-6.087 3.986 -2.630
-2.097 0.728 -1.436
-3.387 3.949 -0.043
-4.692 -1.103 -2.028
-7.501 1.649 -2.492
-6.034 3.666 0.584
-3.225 0.913 1.049
0.000 0.000 0.000
-4.092 2.357 -2.033
```

Values from the calculation:
Energy relative to the elements   186 meV/atom
Crystal system   tetragonal
Spin magnetization   0.000 μB per formula unit

---

(4)
Computed, not measured: a relaxed AlNiAu crystal at the GGA-PBE level of DFT.

```
AlNiAu
1.0
4.148 0.000 0.000
-2.074 3.592 0.000
0.000 0.000 2.901
Ni Au Al
1 1 1
Cartesian
2.074 1.197 2.310
0.000 2.395 0.923
0.000 0.000 2.568
```

Values from the calculation:
Energy relative to the elements   -290 meV/atom
Crystal system   trigonal
Spin magnetization   0.000 μB per formula unit

---

(5)
Computed, not measured: a relaxed LaSn3Pd3 crystal at the GGA-PBE level of DFT.

```
LaSn3Pd3
1.0
-0.008 -1.099 -8.464
2.968 -7.261 -3.363
-3.943 -4.933 -3.659
Pd La Sn
6 2 6
Cartesian
1.158 -5.596 -4.988
2.133 -8.365 -8.998
-3.116 -4.928 -6.488
-1.118 -9.448 -5.961
0.135 -3.845 -9.525
-2.141 -7.697 -10.498
0.935 -2.809 -3.939
-1.919 -10.484 -11.547
-0.787 -3.719 -6.880
-2.239 -5.021 -9.668
-0.196 -9.574 -8.606
-1.377 -6.362 -4.821
0.393 -6.931 -10.665
1.256 -8.273 -5.818
```

Values from the calculation:
Energy relative to the elements   -545 meV/atom
Polymorph energy (0 for the lowest one)   0 meV/atom
Crystal system   trigonal
Spin magnetization   0.000 μB per formula unit

---

(6)
Computed, not measured: a relaxed Tl4TeClF crystal at the GGA-PBE level of DFT.

```
Tl4TeClF
1.0
7.454 0.000 -0.011
0.000 7.248 0.000
-2.922 0.000 8.583
Tl F Te Cl
8 2 2 2
Cartesian
6.472 3.550 2.035
-1.940 7.174 6.538
2.720 5.436 0.950
3.257 1.812 3.531
-1.940 3.698 6.538
1.275 5.436 5.042
6.472 0.074 2.035
1.812 1.812 7.623
0.614 5.436 2.455
3.918 1.812 6.118
0.247 1.812 4.797
4.285 5.436 3.775
2.676 5.436 7.996
1.856 1.812 0.577
```

Values from the calculation:
Formation energy without anion corrections   -0.884 eV/atom
Crystal system   monoclinic
Spin magnetization   0.000 μB per formula unit

---

(7)
Computed, not measured: a relaxed RbPmMn2Se4 crystal at the GGA-PBE level of DFT.

```
RbPmMn2Se4
1.0
7.037 0.000 0.000
3.518 6.001 -0.022
3.518 0.470 5.982
Mn Se Rb Pm
2 4 1 1
Cartesian
10.555 3.954 3.642
3.518 2.517 2.318
5.211 5.427 3.047
5.211 1.043 2.914
8.863 3.481 5.159
8.863 2.989 0.801
0.000 0.000 0.000
7.037 3.235 2.980
```

Values from the calculation:
Formation energy without anion corrections   -0.620 eV/atom
Crystal system   orthorhombic
Spin magnetization   3.988 μB per formula unit

---

(8)
Computed, not measured: a relaxed P2OsPbCl crystal at the GGA-PBE level of DFT.

```
P2OsPbCl
1.0
-0.133 4.387 2.808
-4.194 -1.756 2.546
3.020 -2.145 3.494
Pb P Cl Os
1 2 1 1
Cartesian
0.000 0.000 0.000
-0.066 2.194 1.404
-2.097 -0.878 1.273
1.510 -1.073 1.747
-0.653 0.243 4.424
```

Values from the calculation:
Formation energy without anion corrections   1.958 eV/atom
Polymorph energy (0 for the lowest one)   1620 meV/atom
Crystal system   tetragonal
Spin magnetization   2.970 μB per formula unit

---

(9)
Computed, not measured: a relaxed TaMoAsBr2 crystal at the GGA-PBE level of DFT.

```
TaMoAsBr2
1.0
-4.560 0.274 -2.278
1.056 -4.249 -2.625
-2.048 -2.832 3.759
Ta Br As Mo
1 2 1 1
Cartesian
0.000 0.000 0.000
0.528 -2.124 -1.313
-2.280 0.137 -1.139
-1.024 -1.416 1.879
-2.776 -3.403 -0.572
```

Values from the calculation:
Formation energy without anion corrections   0.854 eV/atom
Polymorph energy (0 for the lowest one)   0 meV/atom
Crystal system   tetragonal
Spin magnetization   5.224 μB per formula unit

---

(10)
Computed, not measured: a relaxed Sc3Rh4 crystal at the GGA-PBE level of DFT.

```
Sc3Rh4
1.0
-0.757 0.162 5.511
-4.397 -0.127 -3.410
0.026 -4.643 0.140
Rh Sc
4 3
Cartesian
0.019 -3.465 0.105
-1.957 -2.256 2.608
-3.170 -2.352 -0.366
0.007 -1.177 0.036
-2.577 0.017 1.051
-2.198 -0.064 -1.705
-0.378 0.081 2.756
```

Values from the calculation:
Energy relative to the elements   -63 meV/atom
Polymorph energy (0 for the lowest one)   828 meV/atom
Crystal system   hexagonal
Spin magnetization   0.000 μB per formula unit

---

(11)
Computed, not measured: a relaxed Rb2PPd3 crystal at the GGA-PBE level of DFT.

```
Rb2PPd3
1.0
-1.808 1.594 -3.593
-5.554 -3.020 1.456
-2.835 9.105 8.071
Rb Pd P
4 6 2
Cartesian
-4.546 6.008 2.348
-5.920 9.647 4.655
-4.278 -1.968 1.280
-5.652 1.671 3.586
-4.660 1.252 0.296
-7.045 -0.044 0.921
-7.898 6.021 4.041
-5.538 6.427 5.638
-3.153 7.723 5.013
-2.300 1.658 1.893
-3.473 3.168 0.549
-6.724 4.511 5.386
```

Values from the calculation:
Energy relative to the elements   -146 meV/atom
Crystal system   orthorhombic
Spin magnetization   0.000 μB per formula unit

---

(12)
Computed, not measured: a relaxed Dy6AgRu crystal at the GGA-PBE level of DFT.

```
Dy6AgRu
1.0
-4.869 4.257 -1.707
-5.850 -3.481 -1.283
-4.377 -1.265 4.688
Dy Ru Ag
6 1 1
Cartesian
-6.015 -1.231 0.584
-9.328 -2.844 1.366
-7.918 0.546 -2.206
-9.081 0.742 1.113
-2.801 0.229 -0.784
-5.768 2.355 0.331
-5.359 0.388 -1.495
0.000 0.000 0.000
```

Values from the calculation:
Energy relative to the elements   -42 meV/atom
Polymorph energy (0 for the lowest one)   94 meV/atom
Crystal system   monoclinic
Spin magnetization   0.000 μB per formula unit

---

(13)
Computed, not measured: a relaxed YRu2Pt2 crystal at the GGA-PBE level of DFT.

```
YRu2Pt2
1.0
3.756 0.000 0.000
0.000 3.756 0.000
1.878 1.878 6.442
Ru Y Pt
2 1 2
Cartesian
1.878 3.756 3.221
3.756 1.878 3.221
0.000 0.000 0.000
1.878 1.878 1.302
3.756 3.756 5.139
```

Values from the calculation:
Energy relative to the elements   -276 meV/atom
Polymorph energy (0 for the lowest one)   0 meV/atom
Crystal system   tetragonal
Spin magnetization   0.000 μB per formula unit

---

(14)
Computed, not measured: a relaxed Pm2Ga2Ni3 crystal at the GGA-PBE level of DFT.

```
Pm2Ga2Ni3
1.0
-3.651 -0.143 -1.782
-2.182 -4.478 4.829
-0.940 6.936 6.007
Ni Ga Pm
6 4 4
Cartesian
-3.694 3.500 7.288
-3.079 -1.185 1.766
-2.306 0.400 0.057
-2.887 -0.254 5.935
-4.467 1.916 8.997
-3.886 2.570 3.119
-4.933 -1.674 5.602
-1.841 3.990 3.451
-4.097 0.040 3.753
-2.676 2.275 5.301
-4.813 4.870 4.833
-5.399 1.377 6.313
-1.961 -2.554 4.221
-1.375 0.938 2.741
```

Values from the calculation:
Energy relative to the elements   -499 meV/atom
Polymorph energy (0 for the lowest one)   0 meV/atom
Crystal system   orthorhombic
Spin magnetization   0.000 μB per formula unit

---

(15)
Computed, not measured: a relaxed TlRh2O4 crystal at the GGA-PBE level of DFT.

```
TlRh2O4
1.0
-6.160 0.705 -1.866
-1.871 -0.005 6.199
4.487 4.208 -2.017
O Rh Tl
8 4 2
Cartesian
-2.690 1.119 2.569
-4.171 1.863 -1.261
-3.126 3.540 0.411
0.002 3.647 1.359
-2.376 3.542 -2.067
-5.153 1.401 1.824
0.752 3.649 -1.119
-1.707 1.581 -0.516
-4.366 1.488 3.753
-1.187 3.595 -0.354
1.893 3.242 0.579
-3.430 1.491 0.654
-1.873 -0.005 6.197
-0.699 2.276 3.176
```

Values from the calculation:
Formation energy without anion corrections   -0.687 eV/atom
Crystal system   tetragonal
Spin magnetization   0.000 μB per formula unit

---

(16)
Computed, not measured: a relaxed BeC5 crystal at the GGA-PBE level of DFT.

```
BeC5
1.0
-2.906 -2.322 1.773
-2.281 1.541 3.066
-3.983 0.853 -0.623
C Be
5 1
Cartesian
-5.454 0.043 2.508
-4.589 -0.541 1.346
-3.944 -0.281 2.744
-2.292 0.018 1.054
-4.352 0.923 1.836
0.000 0.000 0.000
```

Values from the calculation:
Energy relative to the elements   3229 meV/atom
Polymorph energy (0 for the lowest one)   2588 meV/atom
Crystal system   cubic
Spin magnetization   0.000 μB per formula unit

---

(17)
Computed, not measured: a relaxed Zr2Pa2SiIr4 crystal at the GGA-PBE level of DFT.

```
Zr2Pa2SiIr4
1.0
6.254 -0.119 -0.172
-3.106 5.429 0.172
-3.106 -1.746 5.143
Zr Ir Pa Si
2 4 2 1
Cartesian
-1.800 1.067 1.540
-4.413 2.615 3.775
-1.604 2.663 3.844
-3.106 3.554 1.471
1.645 0.900 1.299
-3.106 0.129 3.844
0.020 3.575 1.329
0.020 -0.012 3.814
0.000 0.000 0.000
```

Values from the calculation:
Formation energy without anion corrections   -0.452 eV/atom
Crystal system   tetragonal
Spin magnetization   0.009 μB per formula unit

---

(18)
Computed, not measured: a relaxed NaTcO crystal at the GGA-PBE level of DFT.

```
NaTcO
1.0
2.843 0.000 0.039
0.000 4.669 0.000
-0.090 0.000 5.809
Na Tc O
2 2 2
Cartesian
0.661 0.482 3.328
2.092 2.816 2.521
2.046 3.681 5.619
0.706 1.346 0.230
2.111 0.369 1.458
0.642 2.704 4.390
```

Values from the calculation:
Formation energy without anion corrections   -0.661 eV/atom
Polymorph energy (0 for the lowest one)   293 meV/atom
Crystal system   monoclinic
Spin magnetization   0.000 μB per formula unit

---

(19)
Computed, not measured: a relaxed FeCu2Se crystal at the GGA-PBE level of DFT.

```
FeCu2Se
1.0
-0.120 -7.918 4.128
2.098 -8.283 2.597
2.298 -7.031 5.003
Cu Fe Se
2 1 1
Cartesian
4.248 -23.079 11.651
2.166 -11.768 5.941
1.069 -5.808 2.932
3.207 -17.424 8.796
```

Values from the calculation:
Formation energy without anion corrections   0.360 eV/atom
Crystal system   trigonal
Spin magnetization   2.614 μB per formula unit

---

(20)
Computed, not measured: a relaxed Ti5NbGa6 crystal at the GGA-PBE level of DFT.

```
Ti5NbGa6
1.0
4.622 0.016 -1.347
-0.767 4.881 -2.540
-0.163 1.003 8.041
Ti Ga Nb
5 6 1
Cartesian
2.518 3.603 0.097
-0.383 2.440 -1.270
2.896 1.153 1.350
1.174 2.296 4.058
0.796 4.746 2.805
3.294 3.516 2.748
0.399 2.383 1.406
3.675 1.088 4.012
0.018 4.811 0.142
1.738 3.654 -2.571
2.117 1.242 -1.316
0.000 0.000 0.000
```

Values from the calculation:
Energy relative to the elements   -319 meV/atom
Polymorph energy (0 for the lowest one)   0 meV/atom
Crystal system   monoclinic
Spin magnetization   0.000 μB per formula unit